Entry from Alexandria: a crystal of Hg2SbSe relaxed with PBEsol (meta-GGA SCAN).

Computed properties:
- Total magnetization: 0.000 μB/atom
- Uncorrected formation energy: 11 kJ/mol of atoms

Lattice parameters (Å, degrees): 3.721 4.421 6.014 90.00 90.00 90.00
Space group Pmmm (No. 47)
Symmetry-distinct sites (fractional):
1 Hg 0.000 0.000 0.000 [1 per cell]
2 Hg 0.500 0.500 0.000 [1 per cell]
3 Sb 0.000 0.500 0.500 [1 per cell]
4 Se 0.500 0.000 0.500 [1 per cell]



Entry from Alexandria: a crystal of IrBr relaxed with PBEsol (meta-GGA SCAN).

Computed properties:
- Energy above the lowest structure with this stoichiometry: 687.2 meV per atom
- Total magnetization: 0.000 μB/atom
- Uncorrected formation energy: 113 kJ/mol of atoms

Lattice parameters (Å, degrees): 2.9184 2.9184 9.3656 90.00 90.00 120.00
Space group P6_3mc (No. 186)
Symmetry-distinct sites (fractional):
1 Ir 0.3333 0.6667 0.0000 [2 per cell]
2 Br 0.3333 0.6667 0.2527 [2 per cell]



Entry from Alexandria: a crystal of Ni2TeAs relaxed with PBEsol (meta-GGA SCAN).

Computed properties:
- Total magnetization: 0.000 μB/atom
- Uncorrected formation energy: 19 kJ/mol of atoms

Lattice parameters (Å, degrees): 4.455 4.455 6.120 90.00 90.00 90.00
Space group I4/mmm (No. 139)
Symmetry-distinct sites (fractional):
1 Ni 0.000 0.500 0.250 [4 per cell]
2 Te 0.000 0.000 0.000 [2 per cell]
3 As 0.000 0.000 0.500 [2 per cell]



Entry from Alexandria: a crystal of BaSr3Ga relaxed with PBEsol (meta-GGA SCAN).

Computed properties:
- DFT formation energy: -11 kJ per mole of atoms
- Energy above the lowest structure with this stoichiometry: 0.0 meV per atom
- Total magnetization: 0.072 μB/atom

Lattice parameters (Å, degrees): 6.240 6.240 6.240 90.00 90.00 90.00
Space group Pm-3m (No. 221)
Symmetry-distinct sites (fractional):
1 Ba 0.000 0.000 0.000 [1 per cell]
2 Sr 0.000 0.500 0.500 [3 per cell]
3 Ga 0.500 0.500 0.500 [1 per cell]



Entry from Alexandria: a crystal of Ag3BAu relaxed with PBEsol (meta-GGA SCAN).

Computed properties:
- DFT formation energy: 43 kJ per mole of atoms
- Total magnetization: 0.000 μB/atom

Lattice parameters (Å, degrees): 4.260 4.260 4.260 90.00 90.00 90.00
Space group Pm-3m (No. 221)
Symmetry-distinct sites (fractional):
1 Ag 0.000 0.000 0.500 [3 per cell]
2 B 0.000 0.000 0.000 [1 per cell]
3 Au 0.500 0.500 0.500 [1 per cell]



Entry from Alexandria: a crystal of Te2RuCl relaxed with PBEsol (meta-GGA SCAN).

Computed properties:
- Energy above the lowest structure with this stoichiometry: 0.0 meV per atom
- Total magnetization: 0.000 μB/atom
- Uncorrected formation energy: -22 kJ/mol of atoms

Lattice parameters (Å, degrees): 6.482 3.750 7.819 90.00 105.89 90.00
Space group C2/m (No. 12)
Symmetry-distinct sites (fractional):
1 Te 0.232 0.000 0.198 [4 per cell]
2 Ru 0.000 0.500 0.000 [2 per cell]
3 Cl 0.000 0.000 0.500 [2 per cell]



Entry from Alexandria: a crystal of SmYCo17 relaxed with PBEsol (meta-GGA SCAN).

Computed properties:
- DFT formation energy: -4 kJ per mole of atoms
- Total magnetization: 1.462 μB/atom

Lattice parameters (Å, degrees): 8.1851 8.1851 11.9156 90.00 90.00 120.00
Space group R3m (No. 160, hexagonal axes)
Symmetry-distinct sites (fractional):
1 Sm 0.0000 0.0000 0.0000 [3 per cell]
2 Y 0.0000 0.0000 0.6890 [3 per cell]
3 Co 0.0000 0.0000 0.2488 [3 per cell]
4 Co 0.0000 0.0000 0.4417 [3 per cell]
5 Co 0.0003 0.2878 0.3452 [18 per cell]
6 Co 0.0040 0.5020 0.1918 [9 per cell]
7 Co 0.1671 0.3341 0.1788 [9 per cell]
8 Co 0.1685 0.3370 0.8310 [9 per cell]



Entry from Alexandria: a crystal of TcIrPt relaxed with PBEsol (meta-GGA SCAN).

Computed properties:
- DFT formation energy: -22 kJ per mole of atoms
- Energy above the lowest structure with this stoichiometry: 10.2 meV per atom
- Total magnetization: 0.000 μB/atom

Lattice parameters (Å, degrees): 2.713 3.838 8.193 90.00 90.00 90.00
Space group Imm2 (No. 44)
Symmetry-distinct sites (fractional):
1 Tc 0.000 0.000 0.000 [2 per cell]
2 Ir 0.000 0.000 0.654 [2 per cell]
3 Pt 0.000 0.000 0.329 [2 per cell]



total magnetization of number 5 (Ag3BAu)? 0.000 μB/atom



total magnetization of number 8 (TcIrPt)? 0.000 μB/atom